# 1
First-principles (GGA-PBE) data for a relaxed structure of K2NdBr6, as listed in Alexandria.

abc: 4.610 14.939 8.572
angles: 90.00 90.00 90.00
Space group Amm2 (No. 38)
Inequivalent atoms, fractional coordinates:
K 0.000 0.168 0.000 x4
Nd 0.500 0.000 0.503 x2
Br 0.000 0.000 0.743 x2
Br 0.000 0.120 0.381 x4
Br 0.500 0.000 0.143 x2
Br 0.500 0.180 0.680 x4

Computed properties:
- Density of states at the Fermi level: 20.75 states/eV/cell
- E_form (uncorrected): -1.5335 eV per atom

# 2
First-principles (GGA-PBE) data for a relaxed structure of NbAlSb3, as listed in Alexandria.

abc: 5.146 5.146 5.146
angles: 90.00 90.00 90.00
Space group Pm-3m (No. 221)
Inequivalent atoms, fractional coordinates:
Nb 0.000 0.000 0.000 x1
Al 0.500 0.500 0.500 x1
Sb 0.000 0.500 0.500 x3

Computed properties:
- Density of states at the Fermi level: 9.06 states/eV/cell
- Energy above the lowest structure with this stoichiometry: 603 meV per atom
- E_form (uncorrected): 1.0884 eV per atom

# 3
First-principles (GGA-PBE) data for a relaxed structure of Pu3Np2Se8, as listed in Alexandria.

abc: 11.905 8.867 7.143
angles: 90.00 91.92 90.00
Space group C2/m (No. 12)
Inequivalent atoms, fractional coordinates:
Pu 0.000 0.000 0.000 x2
Pu 0.000 0.239 0.500 x4
Np 0.185 0.500 0.957 x4
Se 0.037 0.500 0.258 x4
Se 0.136 0.000 0.333 x4
Se 0.159 0.194 0.816 x8

Computed properties:
- Density of states at the Fermi level: 94.06 states/eV/cell
- E_form (uncorrected): -1.1989 eV per atom

Number 1: total magnetic moment 2.096 μB/cell, uncorrected energy -3.42 eV/atom. Number 2: total magnetic moment 0.000 μB/cell, uncorrected energy -4.15 eV/atom. Number 3: total magnetic moment 15.991 μB/cell, uncorrected energy -8.64 eV/atom.